No. 1
Below is crystalline Zr2OsPt at its relaxed geometry, with properties calculated at the PBE-GGA level.

Spin magnetization, Bohr magnetons per cell: 0.0
Total energy, Ha/atom: -0.3220

Geometry as POSCAR:
```
Zr2OsPt
1.0
-3.4980 -5.9802 2.3786
2.0335 -3.5956 -6.0492
1.7010 -5.6759 -0.4895
Os Zr Pt
2 4 2
Cartesian
-0.7322 -4.7879 -1.8353
1.5011 -7.0296 -4.1870
-1.4746 -5.5509 0.5862
1.2267 -4.4688 -3.5839
0.7453 -7.8809 -1.7993
-0.0244 -12.6025 -3.5231
0.0000 0.0000 0.0000
-1.2646 -8.2219 0.0269
```

---

No. 2
Below is crystalline Ho4MgCd3 at its relaxed geometry, with properties calculated at the PBE-GGA level.

Offset from the most stable computed form, eV/atom: 0.000
Spin magnetization, Bohr magnetons per cell: 0.0
Total energy, Ha/atom: -0.1134

Geometry as POSCAR:
```
Ho4MgCd3
1.0
3.7473 0.0000 0.0000
0.0000 3.7473 0.0000
0.0000 0.0000 14.8964
Mg Ho Cd
1 4 3
Cartesian
1.8736 1.8736 0.0000
0.0000 0.0000 13.0115
0.0000 0.0000 1.8849
0.0000 0.0000 5.5934
0.0000 0.0000 9.3030
1.8736 1.8736 3.7075
1.8736 1.8736 7.4482
1.8736 1.8736 11.1889
```

---

No. 3
Below is crystalline Na3BeS at its relaxed geometry, with properties calculated at the PBE-GGA level.

Offset from the most stable computed form, eV/atom: 0.000
Spin magnetization, Bohr magnetons per cell: 0.8
ΔE_f (raw), eV per atom: 0.0281
Total energy, Ha/atom: -0.0858

Geometry as POSCAR:
```
Na3BeS
1.0
-3.5223 -3.3848 2.0613
1.1932 -3.5355 -3.7667
3.7791 -2.0384 3.1104
Na S Be
3 1 1
Cartesian
0.5966 -1.7678 -1.8834
1.8896 -1.0192 1.5552
-1.7611 -1.6924 1.0306
0.0000 0.0000 0.0000
0.7250 -4.4794 0.7025
```

---

No. 4
Below is crystalline LiYThNi at its relaxed geometry, with properties calculated at the PBE-GGA level.

Spin magnetization, Bohr magnetons per cell: 0.0
Total energy, Ha/atom: -0.1989

Geometry as POSCAR:
```
LiYThNi
1.0
5.0042 0.0000 0.0000
2.5021 4.3337 0.0000
2.5021 1.4446 4.0859
Y Ni Th Li
1 1 1 1
Cartesian
7.5063 4.3337 3.0644
0.0000 0.0000 0.0000
2.5021 1.4446 1.0215
5.0042 2.8892 2.0429
```

---

No. 5
Below is crystalline Ce3Si2 at its relaxed geometry, with properties calculated at the PBE-GGA level.

Spin magnetization, Bohr magnetons per cell: 4.7
ΔE_f (raw), eV per atom: -0.5714
Total energy, Ha/atom: -0.2316

Geometry as POSCAR:
```
Ce3Si2
1.0
4.1423 0.0000 0.0000
0.0000 7.6409 0.0000
0.0000 0.0000 7.6409
Si Ce
4 6
Cartesian
0.0000 4.6839 0.8635
0.0000 6.7774 4.6839
0.0000 0.8635 2.9569
0.0000 2.9569 6.7774
2.0711 5.1975 6.2638
2.0711 6.2638 2.4434
2.0711 2.4434 1.3770
2.0711 1.3770 5.1975
0.0000 3.8204 3.8204
0.0000 0.0000 0.0000
```

---

No. 6
Below is crystalline Pm4Tl2Ir at its relaxed geometry, with properties calculated at the PBE-GGA level.

Offset from the most stable computed form, eV/atom: 0.119
Spin magnetization, Bohr magnetons per cell: 0.0
Total energy, Ha/atom: -0.1829

Geometry as POSCAR:
```
Pm4Tl2Ir
1.0
-1.5609 2.9342 -2.0224
-1.9564 -4.3175 -4.7541
-6.5701 0.8954 6.3699
Pm Tl Ir
4 2 1
Cartesian
-7.2318 1.3165 3.7495
-2.9688 -1.6727 -0.1355
-4.0741 -2.2932 -3.9248
-6.7763 -2.2382 1.9825
-5.1502 0.6329 1.1511
-6.1551 -1.6090 -1.3260
-0.6092 -0.2444 0.1156
```

---

No. 7
Below is crystalline MnHIr2Pt at its relaxed geometry, with properties calculated at the PBE-GGA level.

Offset from the most stable computed form, eV/atom: 0.000
Spin magnetization, Bohr magnetons per cell: 3.8
Total energy, Ha/atom: -0.2688

Geometry as POSCAR:
```
MnHIr2Pt
1.0
-3.0134 2.4722 0.3468
-1.7464 -2.4761 2.4764
1.8004 1.7684 3.0379
Mn Ir Pt H
1 2 1 1
Cartesian
0.9002 0.8842 1.5189
-0.8732 -1.2380 1.2382
-1.5067 1.2361 0.1734
-1.4797 0.8823 2.9305
0.0000 0.0000 0.0000
```

---

No. 8
Below is crystalline CsCuBiSe2 at its relaxed geometry, with properties calculated at the PBE-GGA level.

Spin magnetization, Bohr magnetons per cell: 0.0
ΔE_f (raw), eV per atom: -0.4694
Total energy, Ha/atom: -0.1334

Geometry as POSCAR:
```
CsCuBiSe2
1.0
-0.6935 -0.1041 -4.1525
-6.0615 -5.5008 1.1503
-5.5962 7.2475 0.7530
Cs Cu Bi Se
2 2 2 4
Cartesian
-7.2921 2.6756 0.7556
-5.0592 -1.0330 -3.0048
0.0000 0.0000 0.0000
-2.7981 3.6237 0.3765
-1.7400 1.7607 -1.8531
-4.5497 5.3827 -1.5464
-10.6873 2.8056 -1.0044
-4.6516 2.4324 -2.0031
-7.6997 -0.7897 -0.2461
-1.6640 -1.1629 -1.2448
```

---

No. 9
Below is crystalline TlCd2Cu at its relaxed geometry, with properties calculated at the PBE-GGA level.

Offset from the most stable computed form, eV/atom: 0.000
Spin magnetization, Bohr magnetons per cell: 0.0
Total energy, Ha/atom: -0.0730

Geometry as POSCAR:
```
TlCd2Cu
1.0
-2.3873 -1.6624 1.2067
0.5061 -2.3553 -2.2438
5.3858 -3.8892 5.2972
Tl Cu Cd
1 1 2
Cartesian
3.0987 -4.9258 3.4544
0.4058 -2.9812 0.8057
0.3198 -0.2309 0.3145
2.3731 -1.7137 2.3341
```

---

No. 10
Below is crystalline BiPd14Pb at its relaxed geometry, with properties calculated at the PBE-GGA level.

Spin magnetization, Bohr magnetons per cell: 0.0
Total energy, Ha/atom: -0.1889

Geometry as POSCAR:
```
BiPd14Pb
1.0
5.8195 -0.0121 0.0000
0.0126 5.8195 0.0000
0.0000 0.0000 7.7481
Bi Pd Pb
1 14 1
Cartesian
2.1870 2.1777 3.8740
5.1031 5.0814 0.0000
2.1870 2.1777 0.0000
5.0967 2.1717 3.8740
5.0968 2.1717 0.0000
2.1934 5.0875 3.8740
2.1933 5.0875 0.0000
3.6395 0.7191 1.8872
3.6395 0.7191 5.8608
0.7345 3.6365 1.8872
0.7345 3.6365 5.8608
3.6458 3.6303 1.8871
3.6458 3.6303 5.8609
0.7282 0.7252 1.8872
0.7282 0.7252 5.8608
5.1030 5.0814 3.8740
```

---

No. 11
Below is crystalline Cr3FeAs at its relaxed geometry, with properties calculated at the PBE-GGA level.

Offset from the most stable computed form, eV/atom: 0.542
Spin magnetization, Bohr magnetons per cell: 0.0
Total energy, Ha/atom: -0.2528

Geometry as POSCAR:
```
Cr3FeAs
1.0
4.2862 0.0000 0.0000
0.0000 4.2862 0.0000
0.0000 0.0000 4.2862
Cr As Fe
3 1 1
Cartesian
0.0000 2.1431 0.0000
0.0000 0.0000 2.1431
2.1431 0.0000 0.0000
0.0000 0.0000 0.0000
2.1431 2.1431 2.1431
```

---

No. 12
Below is crystalline LiTmZrS4 at its relaxed geometry, with properties calculated at the PBE-GGA level.

Spin magnetization, Bohr magnetons per cell: 0.0
ΔE_f (raw), eV per atom: -1.7185
Total energy, Ha/atom: -0.2282

Geometry as POSCAR:
```
LiTmZrS4
1.0
7.5685 0.0000 0.0000
3.7843 6.7050 0.0583
3.7843 2.0982 6.3685
Li Tm Zr S
2 2 2 8
Cartesian
7.5685 4.4843 0.8554
7.5685 4.3188 5.5713
0.0000 0.0000 0.0000
3.7843 4.4016 3.2134
5.6764 1.0491 3.1842
1.8921 1.0491 3.1842
11.3528 6.6834 4.6808
7.5685 6.7103 4.7004
7.5685 2.0928 1.7264
3.7843 2.1197 1.7460
5.6229 5.6776 1.7266
9.5142 5.6776 1.7266
5.6229 3.1256 4.7002
9.5142 3.1256 4.7002
```